1.
Computed, not measured: a geometry-optimized SmPu2Ru structure at the PBE-GGA level of DFT.

Cell lengths 3.390, 3.390, 8.633 Å; angles 90.00, 90.00, 90.00 degrees
Fractional coordinates of all 4 atoms:
Pu: 0.000 0.000 0.806
Ru: 0.500 0.500 0.000
Sm: 0.500 0.500 0.500
Pu: 0.000 0.000 0.194

- energy relative to the lowest polymorph listed for this composition (eV/f.u.) = 0.39
- formation enthalpy at 0 K (eV/atom) = 0.0190
- density of states at the Fermi level (states/eV per cell) = 12.16



2.
Computed, not measured: a geometry-optimized NaZnI structure at the PBE-GGA level of DFT.

Cell lengths 5.238, 5.242, 12.880 Å; angles 90.00, 90.00, 119.97 degrees
Fractional coordinates of all 6 atoms:
Na: 0.552 0.103 0.250
Na: 0.552 0.103 0.750
Zn: 0.443 0.886 0.500
I: 0.218 0.436 0.752
I: 0.218 0.436 0.248
Zn: 0.684 0.368 0.000

- formation energy (no corrections) (kJ/mol of formula units) = -116
- density of states at the Fermi level (states/eV per cell) = 0.00



3.
Computed, not measured: a geometry-optimized AsPbSe2 structure at the PBE-GGA level of DFT.

Cell lengths 5.070, 5.070, 5.070 Å; angles 60.00, 60.00, 60.00 degrees
Fractional coordinates of all 4 atoms:
Pb: 0.750 0.750 0.750
Se: 0.000 0.000 0.000
Se: 0.250 0.250 0.250
As: 0.500 0.500 0.500

- energy relative to the lowest polymorph listed for this composition (eV/f.u.) = 2.05
- formation energy (no corrections) (kJ/mol of formula units) = 123
- density of states at the Fermi level (states/eV per cell) = 2.85



Repeat the second record exactly.
Computed, not measured: a geometry-optimized NaZnI structure at the PBE-GGA level of DFT.

Cell lengths 5.238, 5.242, 12.880 Å; angles 90.00, 90.00, 119.97 degrees
Fractional coordinates of all 6 atoms:
Na: 0.552 0.103 0.250
Na: 0.552 0.103 0.750
Zn: 0.443 0.886 0.500
I: 0.218 0.436 0.752
I: 0.218 0.436 0.248
Zn: 0.684 0.368 0.000

- formation energy (no corrections) (kJ/mol of formula units) = -116
- density of states at the Fermi level (states/eV per cell) = 0.00